Entry 1:
Below is a relaxed YBePt2Cl crystal, with properties calculated at the GGA-PBE level.

abc: 5.164 5.164 5.601
angles: 90.00 90.00 90.00
Space group P4/mmm (No. 123)
Symmetry-distinct sites (fractional):
Y 0.000 0.000 0.000 [1 per cell]
Be 0.000 0.000 0.500 [1 per cell]
Pt 0.000 0.500 0.000 [2 per cell]
Cl 0.500 0.500 0.500 [1 per cell]

=====

Entry 2:
Below is a relaxed Be2ZnPtCl crystal, with properties calculated at the GGA-PBE level.

abc: 3.949 3.949 5.002
angles: 90.00 90.00 90.00
Space group P4/mmm (No. 123)
Symmetry-distinct sites (fractional):
Be 0.000 0.500 0.000 [2 per cell]
Zn 0.000 0.000 0.500 [1 per cell]
Pt 0.500 0.500 0.500 [1 per cell]
Cl 0.500 0.500 0.000 [1 per cell]

=====

no.,raw formation energy (meV per atom),volume (Å³ per cell)
1,1164,149.3
2,920,78.0